Entry from Alexandria via LeMat-Bulk: a geometry-optimized SrZr2Cu structure (PBE-GGA).

abc: 10.336 10.336 10.336
angles: 18.78 18.78 18.78
Last column: magnetic moment on the atom in μB.
Element x y z (fractional)
Cu  0.250  0.250  0.250  0.01
Sr  0.750  0.750  0.750  0.01
Zr  0.981  0.981  0.981  0.06
Zr  0.519  0.519  0.519  0.06

The symmetry is R-3m (166). The energy above the most stable polymorph in this dataset comes out at 0.3381 eV/atom.

---

Entry from Alexandria via LeMat-Bulk: a geometry-optimized SrZr2Cu structure (PBE-GGA).

abc: 6.134 6.134 6.134
angles: 146.76 129.95 61.41
Element x y z (fractional)
Cu  0.518  0.518  0.000
Sr  0.285  0.785  0.500
Zr  0.992  0.992  0.000
Zr  0.705  0.205  0.500

The symmetry is Imm2 (44). The energy above the most stable polymorph in this dataset comes out at 0.3255 eV/atom.

---

Entry from Alexandria via LeMat-Bulk: a geometry-optimized SrZrCu2 structure (PBE-GGA).

abc: 4.353 3.521 6.127
angles: 72.82 90.00 90.00
Element x y z (fractional)
Cu  0.000  0.207  0.968
Cu  0.500  0.075  0.221
Sr  0.000  0.467  0.434
Zr  0.500  0.751  0.877

The symmetry is Pm (6). The energy above the most stable polymorph in this dataset comes out at 0.1257 eV/atom.

---

Entry from Alexandria via LeMat-Bulk: a geometry-optimized Sr2ZrCu2 structure (PBE-GGA).

abc: 7.196 7.196 5.050
angles: 90.00 90.00 90.00
Element x y z (fractional)
Sr  0.178  0.678  0.500
Sr  0.678  0.822  0.500
Sr  0.822  0.322  0.500
Sr  0.322  0.178  0.500
Cu  0.376  0.876  0.000
Cu  0.876  0.624  0.000
Cu  0.624  0.124  0.000
Cu  0.124  0.376  0.000
Zr  0.000  0.000  0.000
Zr  0.500  0.500  0.000

The symmetry is P4/mbm (127). As for the uncorrected energy: -3.82 eV per atom.

---

Entry from Alexandria via LeMat-Bulk: a geometry-optimized SrZr2Cu structure (PBE-GGA).

abc: 5.102 4.355 4.355
angles: 90.00 90.00 90.00
Element x y z (fractional)
Cu  0.500  0.500  0.000
Sr  0.500  0.000  0.500
Zr  0.000  0.000  0.000
Zr  0.000  0.500  0.500

The symmetry is P4/mmm (123). The energy above the most stable polymorph in this dataset comes out at 0.4301 eV/atom.

---

Entry from Alexandria via LeMat-Bulk: a geometry-optimized SrZr2Cu structure (PBE-GGA).

abc: 5.404 5.404 6.370
angles: 77.32 77.32 36.10
Element x y z (fractional)
Cu  0.481  0.481  0.566
Sr  0.228  0.228  0.282
Zr  0.023  0.023  0.886
Zr  0.768  0.768  0.766

The symmetry is Cm (8). The energy above the most stable polymorph in this dataset comes out at 0.2480 eV/atom.

---

Entry from Alexandria via LeMat-Bulk: a geometry-optimized SrZrCu2 structure (PBE-GGA).

abc: 4.552 4.552 6.053
angles: 67.94 67.94 60.05
Element x y z (fractional)
Cu  0.941  0.941  0.175
Cu  0.559  0.559  0.325
Sr  0.750  0.750  0.750
Zr  0.250  0.250  0.250

The symmetry is R-3m (166). The energy above the most stable polymorph in this dataset comes out at 0.0666 eV/atom.

---

Entry from Alexandria via LeMat-Bulk: a geometry-optimized SrZr2Cu structure (PBE-GGA).

abc: 6.031 6.031 3.137
angles: 90.00 90.00 122.20
Element x y z (fractional)
Cu  0.500  0.000  0.500
Sr  0.000  0.500  0.500
Zr  0.000  0.000  0.000
Zr  0.500  0.500  0.000

The symmetry is Cmmm (65). The energy above the most stable polymorph in this dataset comes out at 0.5441 eV/atom.

---

Entry from Alexandria via LeMat-Bulk: a geometry-optimized SrZr2Cu structure (PBE-GGA).

abc: 5.513 5.513 5.513
angles: 130.42 130.42 72.73
Last column: magnetic moment on the atom in μB.
Element x y z (fractional)
Cu  0.500  0.500  0.000  0.03
Sr  0.750  0.250  0.500  0.04
Zr  0.000  0.000  0.000  0.34
Zr  0.250  0.750  0.500  0.28

The symmetry is I-4m2 (119). The energy above the most stable polymorph in this dataset comes out at 0.4794 eV/atom.

---

Entry from Alexandria via LeMat-Bulk: a geometry-optimized SrZr2Cu structure (PBE-GGA).

abc: 5.165 5.165 5.165
angles: 60.00 60.00 60.00
Last column: magnetic moment on the atom in μB.
Element x y z (fractional)
Cu  0.500  0.500  0.500  0.07
Sr  0.750  0.750  0.750  0.07
Zr  0.000  0.000  0.000  1.02
Zr  0.250  0.250  0.250  0.72

The symmetry is F-43m (216). The energy above the most stable polymorph in this dataset comes out at 0.4746 eV/atom.